K3NdCl6 after structural relaxation, computed with PBE-GGA.

Output
Energy (eV/atom): -4.034
Space group: P2_1/c, No. 14
Spin magnetization (μB per formula unit): 0.00
ΔE_f (raw) (eV/f.u.): -21.2

```
K3NdCl6
1.0
-7.280 1.974 -1.129
-2.356 -5.739 5.161
0.402 7.205 8.196
Cl K Nd
12 6 2
direct
0.637 0.437 0.269 Cl
0.712 0.183 0.940 Cl
0.288 0.817 0.060 Cl
0.363 0.563 0.731 Cl
0.788 0.683 0.560 Cl
0.328 0.779 0.418 Cl
0.137 0.063 0.769 Cl
0.672 0.221 0.582 Cl
0.212 0.317 0.440 Cl
0.863 0.937 0.231 Cl
0.172 0.279 0.082 Cl
0.828 0.721 0.918 Cl
0.529 0.928 0.759 K
0.000 0.000 0.500 K
0.471 0.072 0.241 K
0.029 0.572 0.259 K
0.971 0.428 0.741 K
0.500 0.500 0.000 K
0.500 0.500 0.500 Nd
0.000 0.000 0.000 Nd
```

K2NdCl4 after structural relaxation, computed with PBE-GGA.

Output
Energy (eV/atom): -3.901
Space group: I4/mmm, No. 139
Spin magnetization (μB per formula unit): 0.40
ΔE_f (raw) (eV/f.u.): -13.0

```
K2NdCl4
1.0
5.526 0.000 0.000
0.000 5.526 0.000
-2.763 -2.763 8.116
Nd K Cl
1 2 4
direct
0.000 0.000 0.000 Nd
0.360 0.360 0.720 K
0.640 0.640 0.280 K
0.000 0.500 0.000 Cl
0.172 0.172 0.344 Cl
0.828 0.828 0.656 Cl
0.500 0.000 0.000 Cl
```

KNd2Cl6 after structural relaxation, computed with PBE-GGA.

Output
Energy (eV/atom): -4.498
Space group: Amm2, No. 38
Spin magnetization (μB per formula unit): 1.01
ΔE_f (raw) (eV/f.u.): -18.8

```
KNd2Cl6
1.0
-1.425 1.493 4.254
-6.338 2.977 -3.167
-2.924 -6.955 1.462
Cl K Nd
6 1 2
direct
0.500 0.095 0.677 Cl
0.500 0.677 0.095 Cl
0.000 0.323 0.975 Cl
0.500 0.376 0.376 Cl
0.000 0.629 0.629 Cl
0.000 0.975 0.323 Cl
0.500 0.070 0.070 K
0.000 0.588 0.266 Nd
0.000 0.266 0.588 Nd
```

K2NdClO2 after structural relaxation, computed with PBE-GGA.

Output
Energy (eV/atom): -5.276
Space group: P4/mmm, No. 123
Spin magnetization (μB per formula unit): 0.00
ΔE_f (raw) (eV/f.u.): -12.9

```
K2NdClO2
1.0
-3.273 -3.161 -0.950
3.211 -3.359 0.110
-1.046 -0.797 6.256
O Nd K Cl
2 1 2 1
direct
0.000 0.500 0.000 O
0.500 0.000 0.000 O
0.000 0.000 0.000 Nd
0.500 0.500 0.245 K
0.500 0.500 0.755 K
0.000 0.000 0.500 Cl
```

KNdPuCl6 after structural relaxation, computed with PBE-GGA.

Output
Energy (eV/atom): -5.524
Space group: P-31c, No. 163
Spin magnetization (μB per formula unit): 6.00
ΔE_f (raw) (eV/f.u.): -18.4

```
KNdPuCl6
1.0
-5.437 4.771 -0.695
2.840 -3.157 -5.897
-9.113 -10.226 1.087
Nd Cl Pu K
2 12 2 2
direct
0.667 0.333 0.250 Nd
0.333 0.667 0.750 Nd
0.364 0.358 0.364 Cl
0.364 0.006 0.136 Cl
0.636 0.994 0.864 Cl
0.642 0.636 0.136 Cl
0.358 0.994 0.636 Cl
0.006 0.642 0.864 Cl
0.358 0.364 0.864 Cl
0.994 0.358 0.136 Cl
0.006 0.364 0.636 Cl
0.636 0.642 0.636 Cl
0.642 0.006 0.364 Cl
0.994 0.636 0.364 Cl
0.333 0.667 0.250 Pu
0.667 0.333 0.750 Pu
0.000 0.000 0.500 K
0.000 0.000 0.000 K
```

K2RbNdCl6 after structural relaxation, computed with PBE-GGA.

Output
Energy (eV/atom): -3.911
Space group: Fm-3m, No. 225
Spin magnetization (μB per formula unit): 0.00
ΔE_f (raw) (eV/f.u.): -20.1

```
K2RbNdCl6
1.0
2.807 -7.746 -0.435
-4.773 -5.947 -3.150
1.837 -3.317 -7.328
Rb Cl K Nd
1 6 2 1
direct
0.500 0.500 0.500 Rb
0.234 0.766 0.234 Cl
0.234 0.766 0.766 Cl
0.766 0.234 0.234 Cl
0.234 0.234 0.766 Cl
0.766 0.234 0.766 Cl
0.766 0.766 0.234 Cl
0.750 0.750 0.750 K
0.250 0.250 0.250 K
0.000 0.000 0.000 Nd
```

K2RbNdCl6 after structural relaxation, computed with PBE-GGA.

Output
Energy (eV/atom): -4.017
Space group: R3, No. 146
Spin magnetization (μB per formula unit): 0.00
ΔE_f (raw) (eV/f.u.): -21.2

```
K2RbNdCl6
1.0
-7.297 -2.885 -0.319
-3.153 -1.952 -6.923
-0.992 -7.990 -1.751
Cl K Rb Nd
6 2 1 1
direct
0.679 0.137 0.777 Cl
0.218 0.971 0.239 Cl
0.407 0.679 0.777 Cl
0.971 0.572 0.239 Cl
0.137 0.407 0.777 Cl
0.572 0.218 0.240 Cl
0.528 0.528 0.417 K
0.018 0.018 0.946 K
0.811 0.811 0.567 Rb
0.321 0.321 0.036 Nd
```

KSrNdCl6 after structural relaxation, computed with PBE-GGA.

Output
Energy (eV/atom): -4.358
Space group: P-31c, No. 163
Spin magnetization (μB per formula unit): 0.00
ΔE_f (raw) (eV/f.u.): -20.6

```
KSrNdCl6
1.0
7.479 0.000 0.000
-3.740 6.477 0.000
0.000 0.000 13.242
Cl Nd K Sr
12 2 2 2
direct
0.016 0.645 0.866 Cl
0.984 0.629 0.366 Cl
0.645 0.016 0.366 Cl
0.371 0.016 0.134 Cl
0.629 0.645 0.634 Cl
0.984 0.355 0.134 Cl
0.355 0.371 0.866 Cl
0.371 0.355 0.366 Cl
0.355 0.984 0.634 Cl
0.629 0.984 0.866 Cl
0.645 0.629 0.134 Cl
0.016 0.371 0.634 Cl
0.667 0.333 0.250 Nd
0.333 0.667 0.750 Nd
0.000 0.000 0.500 K
0.000 0.000 0.000 K
0.667 0.333 0.750 Sr
0.333 0.667 0.250 Sr
```

KNdTeCl2 after structural relaxation, computed with PBE-GGA.

Output
Energy (eV/atom): -4.402
Space group: Cmcm, No. 63
Spin magnetization (μB per formula unit): 0.00
ΔE_f (raw) (eV/f.u.): -9.3

```
KNdTeCl2
1.0
-4.371 0.979 0.894
3.595 -1.866 7.951
2.131 8.564 1.046
Te Cl K Nd
2 4 2 2
direct
0.490 0.979 0.750 Te
0.510 0.021 0.250 Te
0.842 0.685 0.478 Cl
0.158 0.315 0.978 Cl
0.842 0.685 0.022 Cl
0.158 0.315 0.522 Cl
0.283 0.566 0.250 K
0.717 0.434 0.750 K
0.000 0.000 0.000 Nd
0.000 0.000 0.500 Nd
```

KNdZnCl6 after structural relaxation, computed with PBE-GGA.

Output
Energy (eV/atom): -3.833
Space group: P-31c, No. 163
Spin magnetization (μB per formula unit): 0.00
ΔE_f (raw) (eV/f.u.): -16.3

```
KNdZnCl6
1.0
-2.382 1.458 6.266
-2.477 -5.392 -3.442
9.748 -8.037 5.576
Nd Cl Zn K
2 12 2 2
direct
0.333 0.667 0.250 Nd
0.667 0.333 0.750 Nd
0.356 0.384 0.857 Cl
0.973 0.356 0.143 Cl
0.356 0.973 0.643 Cl
0.027 0.644 0.857 Cl
0.384 0.027 0.143 Cl
0.027 0.384 0.643 Cl
0.973 0.616 0.357 Cl
0.644 0.027 0.357 Cl
0.616 0.644 0.643 Cl
0.644 0.616 0.143 Cl
0.384 0.356 0.357 Cl
0.616 0.973 0.857 Cl
0.667 0.333 0.250 Zn
0.333 0.667 0.750 Zn
0.000 0.000 0.000 K
0.000 0.000 0.500 K
```

KNiCl3 after structural relaxation, computed with PBE-GGA.

Output
Energy (eV/atom): -3.621
Space group: P6_3cm, No. 185
Spin magnetization (μB per formula unit): 1.97
ΔE_f (raw) (eV/f.u.): -5.7

```
KNiCl3
1.0
-3.098 3.299 11.047
5.279 -10.551 -1.818
5.361 2.555 0.740
Ni Cl K
6 18 6
direct
0.000 0.000 0.499 Ni
0.333 0.667 0.136 Ni
0.000 0.000 0.999 Ni
0.333 0.667 0.636 Ni
0.667 0.333 0.636 Ni
0.667 0.333 0.136 Ni
0.000 0.158 0.246 Cl
0.333 0.508 0.888 Cl
0.508 0.333 0.888 Cl
0.000 0.842 0.746 Cl
0.667 0.492 0.388 Cl
0.508 0.176 0.388 Cl
0.824 0.492 0.888 Cl
0.333 0.824 0.388 Cl
0.842 0.842 0.246 Cl
0.842 0.000 0.746 Cl
0.667 0.176 0.888 Cl
0.176 0.508 0.388 Cl
0.492 0.824 0.888 Cl
0.176 0.667 0.888 Cl
0.158 0.000 0.246 Cl
0.824 0.333 0.388 Cl
0.492 0.667 0.388 Cl
0.158 0.158 0.746 Cl
0.335 0.000 0.830 K
0.335 0.335 0.330 K
0.000 0.665 0.330 K
0.665 0.000 0.330 K
0.000 0.335 0.830 K
0.665 0.665 0.830 K
```

KNiCl4 after structural relaxation, computed with PBE-GGA.

Output
Energy (eV/atom): -3.318
Space group: P2_1/c, No. 14
Spin magnetization (μB per formula unit): 3.06
ΔE_f (raw) (eV/f.u.): -5.6

```
KNiCl4
1.0
-0.217 -8.189 -2.207
9.113 1.731 0.452
0.015 -2.520 9.349
K Cl Ni
4 16 4
direct
0.403 0.226 0.837 K
0.597 0.774 0.163 K
0.903 0.726 0.663 K
0.097 0.274 0.337 K
0.280 0.878 0.725 Cl
0.568 0.764 0.509 Cl
0.932 0.736 0.009 Cl
0.220 0.622 0.225 Cl
0.992 0.886 0.343 Cl
0.068 0.264 0.991 Cl
0.492 0.386 0.157 Cl
0.780 0.378 0.775 Cl
0.720 0.122 0.275 Cl
0.508 0.614 0.843 Cl
0.432 0.236 0.491 Cl
0.008 0.114 0.657 Cl
0.189 0.520 0.606 Cl
0.311 0.980 0.106 Cl
0.689 0.020 0.894 Cl
0.811 0.480 0.394 Cl
0.889 0.196 0.831 Ni
0.611 0.304 0.331 Ni
0.389 0.696 0.669 Ni
0.111 0.804 0.169 Ni
```

KNiCl5 after structural relaxation, computed with PBE-GGA.

Output
Energy (eV/atom): -3.018
Space group: Imm2, No. 44
Spin magnetization (μB per formula unit): 0.44
ΔE_f (raw) (eV/f.u.): -5.0

```
KNiCl5
1.0
0.234 1.107 5.556
-4.237 -4.222 3.913
3.201 -5.149 3.785
Cl Ni K
5 1 1
direct
0.521 0.207 0.793 Cl
0.293 0.699 0.699 Cl
0.933 0.500 0.500 Cl
0.521 0.793 0.207 Cl
0.692 0.301 0.301 Cl
0.549 0.500 0.500 Ni
0.021 0.000 0.000 K
```

K2NiCl after structural relaxation, computed with PBE-GGA.

Output
Energy (eV/atom): -2.835
Space group: P2/m, No. 10
Spin magnetization (μB per formula unit): 0.78
ΔE_f (raw) (eV/f.u.): -1.5

```
K2NiCl
1.0
3.735 0.000 0.000
0.000 3.730 0.012
0.000 3.719 8.271
K Cl Ni
2 1 1
direct
0.000 0.020 0.979 K
0.000 0.480 0.521 K
0.500 0.750 0.750 Cl
0.500 0.250 0.250 Ni
```

K2NiCl after structural relaxation, computed with PBE-GGA.

Output
Energy (eV/atom): -2.754
Space group: Amm2, No. 38
Spin magnetization (μB per formula unit): 1.01
ΔE_f (raw) (eV/f.u.): -1.2

```
K2NiCl
1.0
-2.758 4.249 -3.996
-4.007 0.631 -5.018
-4.122 0.476 3.351
K Ni Cl
2 1 1
direct
0.754 0.754 0.625 K
0.994 0.994 0.125 K
0.488 0.488 0.625 Ni
0.264 0.264 0.125 Cl
```

K2NiCl after structural relaxation, computed with PBE-GGA.

Output
Energy (eV/atom): -2.673
Space group: I-4m2, No. 119
Spin magnetization (μB per formula unit): 1.00
ΔE_f (raw) (eV/f.u.): -0.9

```
K2NiCl
1.0
7.683 0.110 0.000
4.953 5.874 0.000
-6.318 -2.992 3.189
K Ni Cl
2 1 1
direct
0.250 0.750 0.500 K
0.000 0.000 0.000 K
0.500 0.500 0.000 Ni
0.750 0.250 0.500 Cl
```

K2NiCl after structural relaxation, computed with PBE-GGA.

Output
Energy (eV/atom): -2.710
Space group: Fm-3m, No. 225
Spin magnetization (μB per formula unit): 1.00
ΔE_f (raw) (eV/f.u.): -1.0

```
K2NiCl
1.0
-2.338 -3.016 4.142
-2.611 2.609 4.254
-5.606 -0.281 0.459
K Ni Cl
2 1 1
direct
0.250 0.250 0.250 K
0.750 0.750 0.750 K
0.500 0.500 0.500 Ni
0.000 0.000 0.000 Cl
```

K3Ni5Cl12 after structural relaxation, computed with PBE-GGA.

Output
Energy (eV/atom): -3.616
Space group: Ia-3d, No. 230
Spin magnetization (μB per formula unit): 9.02
ΔE_f (raw) (eV/f.u.): -18.0

```
K3Ni5Cl12
1.0
13.565 0.000 0.000
-4.522 12.789 0.000
-4.522 -6.395 11.076
K Ni Cl
12 20 48
direct
0.750 0.875 0.625 K
0.375 0.750 0.625 K
0.375 0.625 0.250 K
0.625 0.375 0.750 K
0.125 0.250 0.875 K
0.250 0.625 0.875 K
0.625 0.250 0.375 K
0.125 0.875 0.750 K
0.875 0.750 0.125 K
0.875 0.125 0.250 K
0.750 0.375 0.125 K
0.250 0.125 0.375 K
0.500 0.000 0.500 Ni
0.750 0.125 0.875 Ni
0.500 0.500 0.500 Ni
0.500 0.500 0.000 Ni
0.000 0.500 0.500 Ni
0.375 0.250 0.125 Ni
0.125 0.750 0.375 Ni
0.625 0.875 0.250 Ni
0.000 0.000 0.500 Ni
0.875 0.625 0.750 Ni
0.625 0.750 0.875 Ni
0.875 0.250 0.625 Ni
0.000 0.500 0.000 Ni
0.250 0.875 0.125 Ni
0.125 0.375 0.250 Ni
0.375 0.125 0.750 Ni
0.500 0.000 0.000 Ni
0.000 0.000 0.000 Ni
0.750 0.625 0.375 Ni
0.250 0.375 0.625 Ni
0.607 0.597 0.915 Cl
0.415 0.107 0.597 Cl
0.393 0.403 0.085 Cl
0.318 0.808 0.415 Cl
0.692 0.585 0.182 Cl
0.893 0.308 0.490 Cl
0.490 0.808 0.893 Cl
0.097 0.182 0.490 Cl
0.308 0.893 0.990 Cl
0.403 0.010 0.318 Cl
0.403 0.393 0.585 Cl
0.107 0.692 0.510 Cl
0.097 0.915 0.107 Cl
0.182 0.085 0.692 Cl
0.692 0.107 0.010 Cl
0.682 0.490 0.597 Cl
0.682 0.192 0.585 Cl
0.107 0.415 0.097 Cl
0.893 0.585 0.903 Cl
0.010 0.403 0.818 Cl
0.607 0.010 0.192 Cl
0.010 0.607 0.692 Cl
0.490 0.682 0.097 Cl
0.318 0.510 0.403 Cl
0.903 0.085 0.893 Cl
0.990 0.393 0.308 Cl
0.915 0.097 0.607 Cl
0.597 0.607 0.415 Cl
0.510 0.318 0.903 Cl
0.182 0.097 0.990 Cl
0.585 0.893 0.403 Cl
0.808 0.490 0.393 Cl
0.915 0.818 0.808 Cl
0.085 0.182 0.192 Cl
0.903 0.818 0.510 Cl
0.818 0.903 0.010 Cl
0.808 0.318 0.915 Cl
0.192 0.510 0.607 Cl
0.597 0.990 0.682 Cl
0.192 0.682 0.085 Cl
0.510 0.192 0.107 Cl
0.585 0.692 0.682 Cl
0.308 0.415 0.818 Cl
0.818 0.915 0.308 Cl
0.085 0.903 0.393 Cl
0.415 0.308 0.318 Cl
0.393 0.990 0.808 Cl
0.990 0.597 0.182 Cl
```